# Cu2ReW | the Alexandria database | GGA-PBE | relaxed
# - Energy: -8.095 eV/atom
# - ρ: 14.9 g cm⁻³
# - Energy of formation from the pure elements: 0.30 eV per atom
data_Cu2ReW
_space_group_name_H-M_alt 'I m m m'
_space_group_IT_number 71
_space_group_name_Hall '-I 2 2'
_cell_length_a 3.6860
_cell_length_b 3.7116
_cell_length_c 8.0963
_cell_angle_alpha 90.00
_cell_angle_beta 90.00
_cell_angle_gamma 90.00
loop_
_atom_site_label
_atom_site_fract_x
_atom_site_fract_y
_atom_site_fract_z
Cu1 0.0000 0.0000 0.2500
Re1 0.0000 0.5000 0.0000
W1 0.0000 0.5000 0.5000